# 1
DFT (PBE) results for a relaxed structure of PrNd5HoEr2. Values from VASP.

Computed properties:
space group	Cmc2_1, No. 36
density of states at the Fermi level	1.561	states/eV per atom
V	34.71	Å³ per atom
formation energy	0.15	eV/atom
crystal system	orthorhombic

Structure (Quantum ESPRESSO input):
```
&SYSTEM
  ibrav = 0, nat = 18, ntyp = 4
/
ATOMIC_SPECIES
Pr 140.91 Pr.upf
Nd 144.24 Nd.upf
Ho 164.93 Ho.upf
Er 167.26 Er.upf
CELL_PARAMETERS angstrom
2.834 -10.210 0.000
2.834 10.210 0.000
0.000 0.000 10.798
ATOMIC_POSITIONS angstrom
Pr 2.834 6.086 5.399
Pr 2.834 -6.086 0.000
Nd 2.834 9.877 5.542
Nd 2.834 4.461 8.627
Nd 2.834 4.155 2.098
Nd 2.834 2.214 5.572
Nd 2.834 0.412 2.519
Nd 2.834 -0.412 7.918
Nd 2.834 -2.214 0.173
Nd 2.834 -4.155 7.497
Nd 2.834 -4.461 3.227
Nd 2.834 -9.877 0.142
Ho 2.834 1.826 10.246
Ho 2.834 -1.826 4.847
Er 2.834 7.968 2.484
Er 2.834 7.839 8.714
Er 2.834 -7.839 3.315
Er 2.834 -7.968 7.883
```

=====

# 2
DFT (PBE) results for a relaxed structure of ZrTi2Be2. Values from VASP.

Computed properties:
space group	P4/mbm, No. 127
density of states at the Fermi level	0.993	states/eV per atom
V	14.95	Å³ per atom
formation energy	0.08	eV/atom
crystal system	tetragonal

Structure (Quantum ESPRESSO input):
```
&SYSTEM
  ibrav = 0, nat = 10, ntyp = 3
/
ATOMIC_SPECIES
Zr 91.22 Zr.upf
Ti 47.87 Ti.upf
Be 9.01 Be.upf
CELL_PARAMETERS angstrom
7.435 0.000 0.000
0.000 7.435 0.000
0.000 0.000 2.704
ATOMIC_POSITIONS angstrom
Zr 0.000 0.000 0.000
Zr 3.718 3.718 0.000
Ti 0.911 2.806 0.000
Ti 2.806 6.524 0.000
Ti 4.629 0.911 0.000
Ti 6.524 4.629 0.000
Be 1.287 5.005 1.352
Be 2.431 1.287 1.352
Be 5.005 6.148 1.352
Be 6.148 2.431 1.352
```

=====

- Which of these has the highest formation energy?
  PrNd5HoEr2

=====

- Which of these has the highest V?
  PrNd5HoEr2

=====

Please write out number 2 again, unchanged.
DFT (PBE) results for a relaxed structure of ZrTi2Be2. Values from VASP.

Computed properties:
space group	P4/mbm, No. 127
density of states at the Fermi level	0.993	states/eV per atom
V	14.95	Å³ per atom
formation energy	0.08	eV/atom
crystal system	tetragonal

Structure (Quantum ESPRESSO input):
```
&SYSTEM
  ibrav = 0, nat = 10, ntyp = 3
/
ATOMIC_SPECIES
Zr 91.22 Zr.upf
Ti 47.87 Ti.upf
Be 9.01 Be.upf
CELL_PARAMETERS angstrom
7.435 0.000 0.000
0.000 7.435 0.000
0.000 0.000 2.704
ATOMIC_POSITIONS angstrom
Zr 0.000 0.000 0.000
Zr 3.718 3.718 0.000
Ti 0.911 2.806 0.000
Ti 2.806 6.524 0.000
Ti 4.629 0.911 0.000
Ti 6.524 4.629 0.000
Be 1.287 5.005 1.352
Be 2.431 1.287 1.352
Be 5.005 6.148 1.352
Be 6.148 2.431 1.352
```

=====

- Number 2 is which compound?
  ZrTi2Be2